This record from OQMD via LeMat-Bulk describes a relaxed NdAgSnTe3 crystal. The functional is GGA-PBE.

```
data_NdAgSnTe3
_space_group_name_H-M_alt 'P 1 21/m 1'
_space_group_IT_number 11
_cell_length_a 8.418
_cell_length_b 4.391
_cell_length_c 10.682
_cell_angle_alpha 90.00
_cell_angle_beta 105.33
_cell_angle_gamma 90.00
loop_
_space_group_symop_operation_xyz
'x,y,z'
'-x,-y,-z'
'-x,y+1/2,-z'
'x,-y+1/2,z'
loop_
_atom_site_label
_atom_site_fract_x
_atom_site_fract_y
_atom_site_fract_z
Nd1 0.199 0.250 0.169
Ag1 0.415 0.750 0.413
Sn1 0.243 0.750 0.701
Te1 0.081 0.250 0.859
Te2 0.216 0.250 0.470
Te3 0.465 0.750 0.163
```

Properties
DFT total energy ... -0.153 hartree per atom